(1)
Entry from the Alexandria database: NdSmEr2Sc after structural relaxation (PBE).

Formation enthalpy at 0 K, eV per atom: 0.032

Unit cell a=6.215 b=5.601 c=9.453 alpha=90.00 beta=108.95 gamma=90.00
Space group P2_1/m (No. 11)
One atom of each set of equivalent atoms:
Nd (0.233, 0.250, 0.306) [2 per cell]
Sm (0.366, 0.750, 0.898) [2 per cell]
Er (0.033, 0.250, 0.896) [2 per cell]
Er (0.428, 0.250, 0.691) [2 per cell]
Sc (0.155, 0.750, 0.501) [2 per cell]


(2)
Entry from the Alexandria database: NdSm6Er3Sc2 after structural relaxation (PBE).

Formation enthalpy at 0 K, eV per atom: 0.037

Unit cell a=6.149 b=10.647 c=11.656 alpha=90.00 beta=100.10 gamma=90.00
Space group C2/m (No. 12)
One atom of each set of equivalent atoms:
Nd (0.000, 0.000, 0.000) [2 per cell]
Sm (0.246, 0.500, 0.247) [4 per cell]
Sm (0.249, 0.332, 0.753) [8 per cell]
Er (0.000, 0.167, 0.500) [4 per cell]
Er (0.000, 0.500, 0.500) [2 per cell]
Sc (0.000, 0.333, 0.000) [4 per cell]


(3)
Entry from the Alexandria database: Tb2Nd4ErSc after structural relaxation (PBE).

Formation enthalpy at 0 K, eV per atom: 0.027

Unit cell a=5.092 b=5.107 c=9.937 alpha=90.00 beta=90.00 gamma=90.00
Space group Pmmm (No. 47)
One atom of each set of equivalent atoms:
Tb (0.000, 0.000, 0.000) [1 per cell]
Tb (0.500, 0.500, 0.500) [1 per cell]
Nd (0.000, 0.500, 0.245) [2 per cell]
Nd (0.500, 0.000, 0.246) [2 per cell]
Er (0.000, 0.000, 0.500) [1 per cell]
Sc (0.500, 0.500, 0.000) [1 per cell]


(4)
Entry from the Alexandria database: Tb2NdEr5Sc after structural relaxation (PBE).

Formation enthalpy at 0 K, eV per atom: 0.171

Unit cell a=5.543 b=19.606 c=10.350 alpha=90.00 beta=90.00 gamma=90.00
Space group Cmc2_1 (No. 36)
One atom of each set of equivalent atoms:
Tb (0.000, 0.111, 0.000) [4 per cell]
Tb (0.000, 0.114, 0.419) [4 per cell]
Nd (0.000, 0.414, 0.139) [4 per cell]
Er (0.000, 0.019, 0.706) [4 per cell]
Er (0.000, 0.277, 0.007) [4 per cell]
Er (0.000, 0.298, 0.391) [4 per cell]
Er (0.000, 0.377, 0.705) [4 per cell]
Er (0.000, 0.481, 0.423) [4 per cell]
Sc (0.000, 0.197, 0.699) [4 per cell]


no.,total moment (μB/f.u.)
1,0.00
2,0.00
3,0.00
4,0.00